(1)
A plane-wave DFT calculation with PBE-GGA was carried out for an optimized crystal structure of Ba4VOs2.

The space group is I4/mmm (No. 139) and the conventional cell measures 6.299, 6.299 and 14.359 Å, with angles of 90.00, 90.00 and 90.00 degrees. Symmetry generates all atoms from Ba at (0.000, 0.000, 0.225), Ba at (0.000, 0.500, 0.000), V at (0.000, 0.000, 0.000) and Os at (0.000, 0.000, 0.418).

As for the spin magnetization: 0.65 μB per atom. The calculated volume comes out at 570 Å³/cell. As for the electronic total energy: -4.485 eV/atom. The value obtained for the density of states at the Fermi level is 17.9 states/eV/cell.

---

(2)
A plane-wave DFT calculation with PBE-GGA was carried out for an optimized crystal structure of Ba3VOs.

The space group is Pm-3m (No. 221) and the conventional cell measures 5.952, 5.952 and 5.952 Å, with angles of 90.00, 90.00 and 90.00 degrees. Symmetry generates all atoms from Ba at (0.000, 0.000, 0.500), V at (0.500, 0.500, 0.500) and Os at (0.000, 0.000, 0.000).

As for the spin magnetization: 1.01 μB per atom. The calculation puts the polymorph energy (0 for the lowest one) at 0 meV/atom. The calculated volume comes out at 211 Å³/cell. The value obtained for the density of states at the Fermi level is 8.0 states/eV/cell.

---

(3)
A plane-wave DFT calculation with PBE-GGA was carried out for an optimized crystal structure of Ba2VOs.

The space group is Fm-3m (No. 225) and the conventional cell measures 7.709, 7.709 and 7.709 Å, with angles of 90.00, 90.00 and 90.00 degrees. Symmetry generates all atoms from Ba at (0.250, 0.250, 0.250), V at (0.000, 0.000, 0.000) and Os at (0.000, 0.000, 0.500).

As for the spin magnetization: 1.03 μB per atom. The calculated volume comes out at 458 Å³/cell. As for the electronic total energy: -4.867 eV/atom. The value obtained for the density of states at the Fermi level is 24.5 states/eV/cell.

---

(4)
A plane-wave DFT calculation with PBE-GGA was carried out for an optimized crystal structure of BaV3Os.

The space group is Pm-3m (No. 221) and the conventional cell measures 4.882, 4.882 and 4.882 Å, with angles of 90.00, 90.00 and 90.00 degrees. Symmetry generates all atoms from Ba at (0.000, 0.000, 0.000), V at (0.000, 0.500, 0.500) and Os at (0.500, 0.500, 0.500).

As for the spin magnetization: 1.24 μB per atom. The calculation puts the polymorph energy (0 for the lowest one) at 0 meV/atom. The calculated volume comes out at 116 Å³/cell. The value obtained for the density of states at the Fermi level is 4.5 states/eV/cell.

---

(5)
A plane-wave DFT calculation with PBE-GGA was carried out for an optimized crystal structure of Ba2V4Os.

The space group is I4/mmm (No. 139) and the conventional cell measures 4.893, 4.893 and 16.918 Å, with angles of 90.00, 90.00 and 90.00 degrees. Symmetry generates all atoms from Ba at (0.000, 0.000, 0.148), V at (0.000, 0.000, 0.359), V at (0.000, 0.500, 0.000) and Os at (0.000, 0.000, 0.500).

As for the spin magnetization: 1.48 μB per atom. The calculated volume comes out at 405 Å³/cell. As for the electronic total energy: -6.374 eV/atom. The value obtained for the density of states at the Fermi level is 19.6 states/eV/cell.

---

(6)
A plane-wave DFT calculation with PBE-GGA was carried out for an optimized crystal structure of BaVOs2W.

The space group is P4/mmm (No. 123) and the conventional cell measures 4.909, 4.909 and 4.739 Å, with angles of 90.00, 90.00 and 90.00 degrees. Symmetry generates all atoms from Ba at (0.000, 0.000, 0.000), V at (0.500, 0.500, 0.000), Os at (0.000, 0.500, 0.500) and W at (0.500, 0.500, 0.500).

As for the spin magnetization: 0.00 μB per atom. The calculated volume comes out at 114 Å³/cell. As for the electronic total energy: -7.947 eV/atom. The value obtained for the density of states at the Fermi level is 6.3 states/eV/cell.

---

(7)
A plane-wave DFT calculation with PBE-GGA was carried out for an optimized crystal structure of BaZr2VOs.

The space group is P4/mmm (No. 123) and the conventional cell measures 4.815, 4.815 and 5.410 Å, with angles of 90.00, 90.00 and 90.00 degrees. Symmetry generates all atoms from Ba at (0.000, 0.000, 0.000), Zr at (0.000, 0.500, 0.500), V at (0.000, 0.000, 0.500) and Os at (0.500, 0.500, 0.000).

As for the spin magnetization: 0.10 μB per atom. The calculated volume comes out at 125 Å³/cell. As for the electronic total energy: -6.410 eV/atom. The value obtained for the density of states at the Fermi level is 4.9 states/eV/cell.

---

(8)
A plane-wave DFT calculation with PBE-GGA was carried out for an optimized crystal structure of BaOs2W.

The space group is P2/m (No. 10) and the conventional cell measures 2.936, 4.046 and 7.426 Å, with angles of 90.00, 99.64 and 90.00 degrees. Symmetry generates all atoms from Ba at (0.000, 0.000, 0.000), Os at (0.253, 0.500, 0.665) and W at (0.500, 0.000, 0.500).

As for the spin magnetization: 0.00 μB per atom. The calculation puts the polymorph energy (0 for the lowest one) at 231 meV/atom. The calculated volume comes out at 87 Å³/cell. The value obtained for the density of states at the Fermi level is 4.2 states/eV/cell.

---

Question: What is the formula in the third record?
Answer: Ba2VOs

---

Question: What is the calculated volume in the seventh record?
Answer: 125 Å³/cell

---

Question: Number 5 is which compound?
Answer: Ba2V4Os

---

Question: calculated volume of number 8 (BaOs2W)?
Answer: 87 Å³/cell